Material: Nb3P5Au
Method: DFT, GGA-PBE
State: relaxed

Calculated values
- Raw total energy: -61.4 eV/cell
- Symmetry: P6/mmm

abc: 5.7639 5.7639 5.8418
angles: 90.00 90.00 120.00
With the nearest neighbours (Å) after each atom.
Fractional coordinates of all 9 atoms:
Nb  0.0000  0.5000  0.0000  4 P 2.50
Nb  0.5000  0.0000  0.0000  4 P 2.50
Nb  0.5000  0.5000  0.0000  4 P 2.50
P  0.0000  0.0000  0.0000  6 Nb 2.88, 2 Au 2.92
P  0.3333  0.6667  0.3183  1 P 2.12
P  0.3333  0.6667  0.6817  1 P 2.12
P  0.6667  0.3333  0.3183  1 P 2.12
P  0.6667  0.3333  0.6817  1 P 2.12
Au  0.0000  0.0000  0.5000  2 P 2.92